Entry 1:
10
Lattice="-6.646 4.793 -1.397 -5.806 0.825 5.890 -1.678 7.550 4.305" Properties=species:S:1:pos:R:3 comment="Sb2AuI2 | the Alexandria database | GGA-PBE | optimized geometry" e_tot_ev_per_cell=-30.40 pbc="T T T"
Sb -6.953 7.948 2.131
Sb -8.543 11.488 4.242
Sb -7.177 5.220 6.668
Sb -5.587 1.680 4.557
Au -7.058 6.648 -0.261
Au -7.071 6.519 9.060
I -4.041 3.326 1.434
I -9.398 6.768 3.925
I -10.088 9.842 7.365
I -4.732 6.400 4.873

---

Entry 2:
6
Lattice="-0.192 3.163 3.061 -8.015 1.426 1.208 -4.886 -4.100 3.929" Properties=species:S:1:pos:R:3 comment="SbAuI | the Alexandria database | GGA-PBE | optimized geometry" e_tot_ev_per_cell=-18.21 pbc="T T T"
Sb -5.954 3.079 2.862
Sb -5.072 -0.121 3.051
Au -3.701 2.165 3.944
Au -7.324 0.793 1.969
I -6.459 -0.377 6.385
I -9.453 -0.765 3.456

---

Entry 3:
4
Lattice="4.376 0.000 0.000 2.188 3.790 0.000 2.188 1.263 7.382" Properties=species:S:1:pos:R:3 comment="Sb2AuI | the Alexandria database | GGA-PBE | optimized geometry" e_tot_ev_per_cell=-13.43 pbc="T T T"
I 4.376 2.527 3.691
Sb 2.188 1.263 1.208
Sb 6.565 3.790 6.175
Au 0.000 0.000 0.000

---

Entry 4:
80
Lattice="-10.916 0.571 9.270 3.431 -13.688 -2.504 11.323 6.829 5.527" Properties=species:S:1:pos:R:3 comment="Sb5Au12I3 | the Alexandria database | GGA-PBE | optimized geometry" e_tot_ev_per_cell=-244.79 pbc="T T T"
I -5.485 -3.851 6.704
I -5.563 -8.913 6.924
I 5.557 -5.784 5.053
I 1.946 0.993 4.077
I -6.292 0.496 9.180
I 0.882 -6.634 3.293
I 2.957 0.345 9.000
I 10.130 -6.784 3.114
I 1.892 -7.281 8.216
I -1.718 -0.504 7.240
I 9.401 2.625 5.369
I 9.323 -2.437 5.589
Sb 2.753 -3.354 1.602
Sb 1.715 -6.844 -1.252
Sb 0.000 0.000 0.000
Sb -1.820 -2.354 3.541
Sb 0.204 3.700 7.399
Sb -3.743 -6.559 3.383
Sb 5.455 -7.634 1.354
Sb 2.150 4.692 11.476
Sb -1.796 -5.566 7.460
Sb 4.828 3.625 7.309
Sb -0.990 -9.913 4.985
Sb 1.919 -3.144 6.147
Sb -5.458 0.285 4.635
Sb 5.662 3.415 2.764
Sb 5.635 -0.722 4.833
Sb 1.688 -10.981 0.818
Sb 7.377 -3.430 1.512
Sb -1.617 1.345 10.940
Sb 5.659 -3.934 8.752
Sb 1.085 -2.934 10.692
Au -7.061 -0.689 6.637
Au 3.333 -4.202 4.046
Au -5.935 -3.010 9.452
Au -4.004 -2.012 5.006
Au 3.406 -4.851 7.697
Au -6.525 -5.896 8.493
Au 3.494 -7.902 3.118
Au 3.494 -11.337 -1.091
Au 4.874 -8.184 6.549
Au -3.692 -6.839 6.112
Au -2.413 -3.126 8.293
Au -5.282 -12.121 5.470
Au 7.485 -6.105 2.109
Au -1.507 -4.973 3.266
Au 6.449 -10.061 0.964
Au 2.535 2.675 6.377
Au 1.799 -0.895 1.868
Au -2.008 -8.630 2.900
Au -2.754 -9.671 6.949
Au 0.899 -4.741 0.309
Au 7.769 -7.587 5.617
Au 0.251 -5.295 5.798
Au -1.331 -7.006 9.638
Au 2.550 2.077 11.302
Au 3.587 -0.994 6.496
Au 5.170 0.717 2.656
Au 1.288 -8.366 0.991
Au 6.593 3.382 5.345
Au -3.930 1.299 6.676
Au 2.940 -1.548 11.984
Au 5.846 2.341 9.393
Au 1.304 -8.963 5.917
Au 2.039 -5.393 10.425
Au -2.611 3.772 11.329
Au -3.647 -0.183 10.184
Au 9.120 5.833 6.824
Au 5.345 -1.316 9.027
Au -1.036 1.895 5.744
Au 7.530 0.550 6.181
Au 6.251 -3.163 4.000
Au 0.344 5.049 13.384
Au 0.344 1.614 9.176
Au 7.842 -4.277 7.288
Au 10.363 -0.392 3.800
Au 0.432 -1.437 4.596
Au 9.773 -3.279 2.841
Au 0.506 -2.086 8.247
Au 10.899 -5.599 5.657

---

Entry 5:
4
Lattice="-1.630 -3.155 3.939 -4.764 -2.317 -0.257 -0.365 -5.234 -0.773" Properties=species:S:1:pos:R:3 comment="Sb2AuI | the Alexandria database | GGA-PBE | optimized geometry" e_tot_ev_per_cell=-11.39 pbc="T T T"
I 0.000 0.000 0.000
Sb -1.690 -2.676 0.727
Sb -5.069 -8.029 2.182
Au -3.379 -5.353 1.455

---

Entry 6:
5
Lattice="-1.937 -4.564 -2.531 0.639 -2.886 4.716 -5.074 1.323 1.497" Properties=species:S:1:pos:R:3 comment="ScSb2AuI | the Alexandria database | GGA-PBE | optimized geometry" e_tot_ev_per_cell=-17.95 pbc="T T T"
I -2.537 0.662 0.749
Sb 0.319 -1.443 2.358
Sb -0.968 -2.282 -1.265
Au -3.186 -3.063 1.841
Sc 0.000 0.000 0.000

---

Entry 7:
5
Lattice="5.386 0.000 0.000 0.000 5.386 0.000 0.000 0.000 5.526" Properties=species:S:1:pos:R:3 comment="ScSb2AuI | the Alexandria database | GGA-PBE | optimized geometry" e_tot_ev_per_cell=-17.29 pbc="T T T"
I 0.000 0.000 2.763
Sb 0.000 2.693 0.000
Sb 2.693 0.000 0.000
Au 0.000 0.000 0.000
Sc 2.693 2.693 2.763

---

Entry 8:
5
Lattice="5.160 0.000 0.000 0.000 5.393 0.000 0.000 0.000 5.160" Properties=species:S:1:pos:R:3 comment="SbAuSe2I | the Alexandria database | GGA-PBE | optimized geometry" e_tot_ev_per_cell=-13.44 pbc="T T T"
I 0.000 2.697 0.000
Sb 2.580 2.697 2.580
Au 0.000 0.000 0.000
Se 0.000 0.000 2.580
Se 2.580 0.000 0.000